Record 1
This record from the Alexandria database describes Lu2SO2 after structural relaxation. The functional is PBE.

Results
- Formation energy from raw total energies: -3.251 eV per atom

```
data_Lu2SO2
_cell_length_a 3.7044
_cell_length_b 3.7044
_cell_length_c 6.4852
_cell_angle_alpha 90.00
_cell_angle_beta 90.00
_cell_angle_gamma 120.00
_space_group_name_H-M_alt 'P -3 m 1'
_space_group_IT_number 164
_space_group_name_Hall '-P 3 2"'
loop_
_atom_site_label
_atom_site_fract_x
_atom_site_fract_y
_atom_site_fract_z
Lu1 0.3333 0.6667 0.2838
S1 0.0000 0.0000 0.0000
O1 0.3333 0.6667 0.6295
```

Record 2
This record from the Alexandria database describes Ca3Se5 after structural relaxation. The functional is PBE.

Results
- Energy above the lowest structure with this stoichiometry: 0 meV/atom
- Formation energy from raw total energies: -1.292 eV per atom

```
data_Ca3Se5
_cell_length_a 7.957
_cell_length_b 15.508
_cell_length_c 8.510
_cell_angle_alpha 90.00
_cell_angle_beta 116.01
_cell_angle_gamma 90.00
_space_group_name_H-M_alt 'C 1 m 1'
_space_group_IT_number 8
loop_
_space_group_symop_operation_xyz
'x,y,z'
'x,-y,z'
'x+1/2,y+1/2,z'
'x+1/2,-y+1/2,z'
loop_
_atom_site_label
_atom_site_fract_x
_atom_site_fract_y
_atom_site_fract_z
Ca1 0.000 0.000 0.000
Ca2 0.094 0.500 0.609
Ca3 0.319 0.174 0.926
Ca4 0.435 0.327 0.323
Se1 0.124 0.214 0.120
Se2 0.157 0.421 0.972
Se3 0.176 0.289 0.624
Se4 0.190 0.000 0.380
Se5 0.391 0.000 0.225
Se6 0.420 0.390 0.648
```

Record 3
This record from the Alexandria database describes Cs3NdPb2O6 after structural relaxation. The functional is PBE.

Results
- Formation energy from raw total energies: -1.518 eV per atom

```
data_Cs3NdPb2O6
_cell_length_a 6.6541
_cell_length_b 6.6541
_cell_length_c 7.9495
_cell_angle_alpha 90.00
_cell_angle_beta 90.00
_cell_angle_gamma 120.00
_space_group_name_H-M_alt 'P -3 m 1'
_space_group_IT_number 164
_space_group_name_Hall '-P 3 2"'
loop_
_atom_site_label
_atom_site_fract_x
_atom_site_fract_y
_atom_site_fract_z
Cs1 0.0000 0.0000 0.0000
Cs2 0.3333 0.6667 0.6670
Nd1 0.0000 0.0000 0.5000
Pb1 0.3333 0.6667 0.2148
O1 0.1650 0.3301 0.3228
```

Record 4
This record from the Alexandria database describes Pr4NdEr8 after structural relaxation. The functional is PBE.

Results
- Formation energy: 0.53 eV per atom

```
data_Pr4NdEr8
_cell_length_a 7.826
_cell_length_b 7.826
_cell_length_c 7.826
_cell_angle_alpha 90.00
_cell_angle_beta 90.00
_cell_angle_gamma 90.00
_space_group_name_H-M_alt 'P m -3 m'
_space_group_IT_number 221
_space_group_name_Hall '-P 4 2 3'
loop_
_atom_site_label
_atom_site_fract_x
_atom_site_fract_y
_atom_site_fract_z
Pr1 0.000 0.000 0.000
Pr2 0.000 0.500 0.500
Nd1 0.500 0.500 0.500
Er1 0.239 0.239 0.239
```

| no. | theoretical density (g/cm3) | DFT total energy (eV per cell) |
| --- | --- | --- |
| 1 | 8.92 | -39.34 |
| 2 | 3.62 | -135.05 |
| 3 | 5.74 | -62.71 |
| 4 | 7.09 | -53.53 |